[1]
Material: Zn3Cd2Ag8
Method: DFT, PBE-GGA
State: optimized geometry

Output
* formation energy from the elements: 0.08 eV per atom
* uncorrected energy: -27.434 eV/f.u.
* symmetry: C2/m
* ρ: 8.56 g cm⁻³
* ΔE to the lowest computed polymorph: 60 meV per atom

Structure (extended XYZ):
```
13
Lattice="6.1165 -3.7056 0.0000 6.1165 3.7056 0.0000 -1.0514 0.0000 5.4952" Properties=species:S:1:pos:R:3 pbc="T T T"
Zn 0.0000 0.0000 0.0000
Zn 5.5909 2.4055 2.7476
Zn 5.5909 -2.4055 2.7476
Cd 1.6898 0.0000 4.0790
Cd 9.4919 0.0000 1.4163
Ag 4.6957 1.3883 0.3665
Ag 2.2764 0.0000 1.3860
Ag 4.3762 0.0000 3.3689
Ag 6.4860 1.3883 5.1288
Ag 4.6957 -1.3883 0.3665
Ag 6.8055 0.0000 2.1263
Ag 8.9053 0.0000 4.1092
Ag 6.4860 -1.3883 5.1288
```


[2]
Material: Zn2Cd6Ag
Method: DFT, PBE-GGA
State: optimized geometry

Output
* formation energy from the elements: 0.04 eV per atom
* uncorrected energy: -10.517 eV/f.u.
* symmetry: Fmmm
* ρ: 8.29 g cm⁻³

Structure (extended XYZ):
```
9
Lattice="0.0000 6.3472 6.6334 2.1715 0.0000 6.6334 2.1715 6.3472 0.0000" Properties=species:S:1:pos:R:3 pbc="T T T"
Zn 2.1715 6.3472 2.2010
Zn 2.1715 6.3472 11.0659
Cd 2.1715 2.0441 6.6334
Cd 2.1715 4.3576 4.4053
Cd 2.1715 8.3368 4.4053
Cd 2.1715 4.3576 8.8616
Cd 2.1715 8.3368 8.8616
Cd 2.1715 10.6504 6.6334
Ag 2.1715 6.3472 6.6334
```


[3]
Material: Zn5CdAg2
Method: DFT, PBE-GGA
State: optimized geometry

Output
* formation energy from the elements: 0.04 eV per atom
* uncorrected energy: -12.658 eV/f.u.
* symmetry: I4mm
* ρ: 8.21 g cm⁻³
* ΔE to the lowest computed polymorph: 0 meV per atom

Structure (extended XYZ):
```
8
Lattice="-3.3450 3.3450 2.9601 3.3450 -3.3450 2.9601 3.3450 3.3450 -2.9601" Properties=species:S:1:pos:R:3 pbc="T T T"
Zn 0.0000 0.0000 0.0000
Zn 1.6741 1.6741 -1.4787
Zn 1.6708 -1.6708 1.4814
Zn -1.6708 1.6708 1.4814
Zn 1.6708 1.6708 1.4814
Cd 0.0000 0.0000 2.9651
Ag 3.3450 0.0000 0.0023
Ag 0.0000 3.3450 0.0023
```


[4]
Material: ZnCd12Ag3
Method: DFT, PBE-GGA
State: optimized geometry

Output
* formation energy from the elements: 0.01 eV per atom
* uncorrected energy: -20.629 eV/f.u.
* symmetry: P4/mmm
* ρ: 8.67 g cm⁻³

Structure (extended XYZ):
```
16
Lattice="4.3185 0.0000 0.0000 0.0000 4.3185 0.0000 0.0000 0.0000 17.8461" Properties=species:S:1:pos:R:3 pbc="T T T"
Zn 0.0000 0.0000 0.0000
Cd 0.0000 2.1592 2.2452
Cd 0.0000 2.1592 6.7098
Cd 0.0000 2.1592 11.1363
Cd 0.0000 2.1592 15.6010
Cd 2.1592 0.0000 2.2452
Cd 2.1592 0.0000 6.7098
Cd 2.1592 0.0000 11.1363
Cd 2.1592 0.0000 15.6010
Cd 2.1592 2.1592 0.0000
Cd 2.1592 2.1592 4.4872
Cd 2.1592 2.1592 8.9231
Cd 2.1592 2.1592 13.3590
Ag 0.0000 0.0000 4.4953
Ag 0.0000 0.0000 8.9231
Ag 0.0000 0.0000 13.3508
```


- What is the formation energy from the elements in the fourth record?
  0.01 eV per atom


- Which value of ρ does entry 2 give?
  8.29 g cm⁻³